Entry from Alexandria: crystalline KYOs2 at its relaxed geometry (PBE).

Properties
Distance to the lowest polymorph of the same formula, meV per atom: 868
V, Å³/cell: 78
E, eV per cell: -25.18
Space group: P4/mmm

a = 3.9963 Å, b = 3.9963 Å, c = 4.8682 Å
α = 90.00°, β = 90.00°, γ = 90.00°
Last column: nearest neighbours and their distance in Å.
Sites, in units of the cell vectors:
K (0.0000, 0.0000, 0.0000)  4 Y 2.83, 8 Os 3.15
Y (0.5000, 0.5000, 0.0000)  4 K 2.83, 8 Os 3.15
Os (0.0000, 0.5000, 0.5000)  4 Os 2.83, 4 K 3.15, 4 Y 3.15
Os (0.5000, 0.0000, 0.5000)  4 Os 2.83, 4 K 3.15, 4 Y 3.15

=====

Entry from Alexandria: crystalline KYOs2 at its relaxed geometry (PBE).

Properties
Distance to the lowest polymorph of the same formula, meV per atom: 768
V, Å³/cell: 77
E, eV per cell: -25.58
Space group: Immm

a = 5.7658 Å, b = 5.7658 Å, c = 5.7658 Å
α = 148.16°, β = 130.06°, γ = 60.46°
Last column: nearest neighbours and their distance in Å.
Sites, in units of the cell vectors:
K (0.0000, 0.0000, 0.0000)  4 Y 2.90, 4 Os 3.05, 2 K 3.16
Y (0.5000, 0.5000, 0.0000)  4 Os 2.86, 4 K 2.90, 2 Y 3.16
Os (0.2613, 0.7613, 0.5000)  2 Y 2.86, 6 Os 2.91-3.16, 2 K 3.05
Os (0.7387, 0.2387, 0.5000)  2 Y 2.86, 6 Os 2.91-3.16, 2 K 3.05

=====

Entry from Alexandria: crystalline KYOs at its relaxed geometry (PBE).

Properties
Distance to the lowest polymorph of the same formula, meV per atom: 195
V, Å³/cell: 86
E, eV per cell: -16.40
Space group: P3m1

a = 3.4387 Å, b = 3.4387 Å, c = 8.3796 Å
α = 90.00°, β = 90.00°, γ = 120.00°
Last column: nearest neighbours and their distance in Å.
Sites, in units of the cell vectors:
K (0.0000, 0.0000, 0.0000)  3 Os 3.29, 6 K 3.44
Y (0.3333, 0.6667, 0.5381)  3 Os 2.73
Os (0.6667, 0.3333, 0.3137)  3 Y 2.73

=====

Entry from Alexandria: crystalline KY4Os at its relaxed geometry (PBE).

Properties
V, Å³/cell: 180
E, eV per cell: -31.57
Space group: F-43m

a = 6.3325 Å, b = 6.3325 Å, c = 6.3325 Å
α = 60.00°, β = 60.00°, γ = 60.00°
Last column: nearest neighbours and their distance in Å.
Sites, in units of the cell vectors:
K (0.0000, 0.0000, 0.0000)  12 Y 3.72, 4 Os 3.88
Y (0.3779, 0.3779, 0.3779)  6 Y 3.09-3.24
Y (0.3779, 0.3779, 0.8664)  6 Y 3.09-3.24
Y (0.3779, 0.8664, 0.3779)  6 Y 3.09-3.24
Y (0.8664, 0.3779, 0.3779)  6 Y 3.09-3.24
Os (0.7500, 0.7500, 0.7500)  12 Y 3.71, 4 K 3.88

=====

Entry from Alexandria: crystalline KYOs2 at its relaxed geometry (PBE).

Properties
Distance to the lowest polymorph of the same formula, meV per atom: 628
V, Å³/cell: 82
E, eV per cell: -26.14
Space group: R-3m

a = 10.2320 Å, b = 10.2320 Å, c = 10.2320 Å
α = 17.21°, β = 17.21°, γ = 17.21°
Last column: nearest neighbours and their distance in Å.
Sites, in units of the cell vectors:
K (0.0000, 0.0000, 0.0000)  6 K 3.06, 6 Os 3.31
Y (0.5000, 0.5000, 0.5000)  6 Os 2.86, 6 Y 3.06
Os (0.2408, 0.2408, 0.2408)  3 Y 2.86, 6 Os 3.06
Os (0.7592, 0.7592, 0.7592)  3 Y 2.86, 6 Os 3.06

=====

Entry from Alexandria: crystalline K2ZnOs at its relaxed geometry (PBE).

Properties
V, Å³/cell: 87
E, eV per cell: -10.65
Space group: R-3m

a = 11.9255 Å, b = 11.9255 Å, c = 11.9255 Å
α = 14.04°, β = 14.04°, γ = 14.04°
Last column: nearest neighbours and their distance in Å.
Sites, in units of the cell vectors:
K (0.2450, 0.2450, 0.2450)  6 K 2.91, 3 Os 3.25
K (0.7550, 0.7550, 0.7550)  6 K 2.91, 3 Os 3.25
Zn (0.0000, 0.0000, 0.0000)  6 Zn 2.91
Os (0.5000, 0.5000, 0.5000)  6 Os 2.91, 6 K 3.25

=====

Entry from Alexandria: crystalline KZnOs at its relaxed geometry (PBE).

Properties
Distance to the lowest polymorph of the same formula, meV per atom: 365
V, Å³/cell: 58
E, eV per cell: -10.49
Space group: P-6m2

a = 5.0635 Å, b = 5.0635 Å, c = 2.6283 Å
α = 90.00°, β = 90.00°, γ = 120.00°
Last column: nearest neighbours and their distance in Å.
Sites, in units of the cell vectors:
K (0.0000, 0.0000, 0.0000)  2 K 2.63
Zn (0.3333, 0.6667, 0.5000)  2 Zn 2.63, 3 Os 2.92
Os (0.6667, 0.3333, 0.5000)  2 Os 2.63, 3 Zn 2.92

=====

Entry from Alexandria: crystalline K2ZnOs at its relaxed geometry (PBE).

Properties
V, Å³/cell: 98
E, eV per cell: -9.84
Space group: F-43m

a = 5.1718 Å, b = 5.1718 Å, c = 5.1718 Å
α = 60.00°, β = 60.00°, γ = 60.00°
Last column: nearest neighbours and their distance in Å.
Sites, in units of the cell vectors:
K (0.0000, 0.0000, 0.0000)  4 K 3.17, 4 Os 3.17
K (0.2500, 0.2500, 0.2500)  4 Zn 3.17, 4 K 3.17
Zn (0.5000, 0.5000, 0.5000)  4 Os 3.17, 4 K 3.17
Os (0.7500, 0.7500, 0.7500)  4 Zn 3.17, 4 K 3.17

=====

Entry from Alexandria: crystalline KZnOs2 at its relaxed geometry (PBE).

Properties
V, Å³/cell: 86
E, eV per cell: -22.32
Space group: Cm

a = 4.4239 Å, b = 4.4239 Å, c = 7.4187 Å
α = 94.02°, β = 94.02°, γ = 36.24°
Last column: nearest neighbours and their distance in Å.
Sites, in units of the cell vectors:
K (0.0000, 0.0000, 0.0000)  2 K 2.75
Zn (0.7684, 0.7684, 0.3371)  5 Os 2.70-2.80, 2 Zn 2.75
Os (0.2387, 0.2387, 0.6554)  3 Os 2.41-2.56
Os (0.4967, 0.4967, 0.5344)  3 Os 2.41-2.56

=====

Entry from Alexandria: crystalline K2ZnOs at its relaxed geometry (PBE).

Properties
V, Å³/cell: 104
E, eV per cell: -11.43
Space group: Cm

a = 6.5580 Å, b = 6.5580 Å, c = 6.2969 Å
α = 105.91°, β = 105.91°, γ = 23.60°
Last column: nearest neighbours and their distance in Å.
Sites, in units of the cell vectors:
K (0.0000, 0.0000, 0.0000)  2 K 2.68
K (0.1948, 0.1948, 0.6107)  2 K 2.68
Zn (0.7809, 0.7809, 0.1776)  2 Os 2.56, 2 Zn 2.68
Os (0.4282, 0.4282, 0.4547)  2 Zn 2.56, 2 Os 2.68

=====

Entry from Alexandria: crystalline K2ZnOs at its relaxed geometry (PBE).

Properties
V, Å³/cell: 120
E, eV per cell: -11.94
Space group: P4mm

a = 3.4631 Å, b = 3.4631 Å, c = 10.0330 Å
α = 90.00°, β = 90.00°, γ = 90.00°
Last column: nearest neighbours and their distance in Å.
Sites, in units of the cell vectors:
K (0.0000, 0.0000, 0.0000)  1 Os 3.18, 4 K 3.46, 4 Zn 3.54
K (0.5000, 0.5000, 0.4299)  1 Zn 3.16, 4 K 3.46, 4 Os 3.53
Zn (0.5000, 0.5000, 0.7446)  4 Os 2.53
Os (0.0000, 0.0000, 0.6831)  4 Zn 2.53

=====

Entry from Alexandria: crystalline K2ZnOs at its relaxed geometry (PBE).

Properties
V, Å³/cell: 92
E, eV per cell: -10.61
Space group: P4/mmm

a = 2.8312 Å, b = 2.8312 Å, c = 11.4493 Å
α = 90.00°, β = 90.00°, γ = 90.00°
Last column: nearest neighbours and their distance in Å.
Sites, in units of the cell vectors:
K (0.0000, 0.0000, 0.2352)  4 K 2.83
K (0.0000, 0.0000, 0.7648)  4 K 2.83
Zn (0.5000, 0.5000, 0.5000)  4 Zn 2.83
Os (0.5000, 0.5000, 0.0000)  4 Os 2.83

=====

| no. | Fermi-level density of states (states/eV/cell) | calculated formation energy (eV/atom) |
| --- | --- | --- |
| 1 | 5.38 | 1.21 |
| 2 | 3.19 | 1.11 |
| 3 | 1.78 | 0.80 |
| 4 | 10.42 | 1.10 |
| 5 | 3.08 | 0.97 |
| 6 | 1.80 | 1.01 |
| 7 | 1.58 | 1.04 |
| 8 | 6.19 | 1.21 |
| 9 | 2.80 | 0.63 |
| 10 | 3.50 | 0.82 |
| 11 | 3.36 | 0.69 |
| 12 | 3.17 | 1.02 |